The following is a SCAN calculation of a crystal of Na3As7 relaxed with PBEsol, from Alexandria via LeMat-Bulk.

a b c (Å): 15.377 10.951 14.145
angles (deg): 90.00 115.74 90.00
Space group P2_1/c (No. 14)
Unique sites:
1 Na 0.058 0.063 0.194
2 Na 0.101 0.535 0.124
3 Na 0.213 0.205 0.063
4 Na 0.293 0.696 0.845
5 Na 0.399 0.042 0.516
6 Na 0.434 0.554 0.631
7 As 0.015 0.221 0.541
8 As 0.073 0.647 0.863
9 As 0.102 0.645 0.580
10 As 0.124 0.662 0.316
11 As 0.194 0.564 0.483
12 As 0.221 0.582 0.011
13 As 0.237 0.238 0.343
14 As 0.263 0.737 0.613
15 As 0.295 0.071 0.278
16 As 0.301 0.075 0.791
17 As 0.385 0.153 0.697
18 As 0.389 0.158 0.973
19 As 0.445 0.157 0.287
20 As 0.481 0.728 0.032

Summary:
* energy relative to the elements: -341 meV/atom
* total magnetic moment: 0.000 μB per formula unit
* energy: -15.739 eV per atom
* theoretical density: 3.7 Mg/m³